Cs2NiPbF6 after structural relaxation, computed with PBE+U.

```
data_Cs2NiPbF6
_chemical_formula_sum 'Cs2 Ni1 Pb1 F6'
_symmetry_space_group_name_H-M 'P 1'
_symmetry_Int_Tables_number 1
_symmetry_space_group_name_Hall 'P 1'
_cell_length_a 4.669
_cell_length_b 4.669
_cell_length_c 8.999
_cell_angle_alpha 90.00
_cell_angle_beta 90.00
_cell_angle_gamma 90.00
loop_
_atom_site_label
_atom_site_fract_x
_atom_site_fract_y
_atom_site_fract_z
F1 0.500 0.500 0.716
F2 0.000 0.500 0.000
F3 0.000 0.500 0.500
Cs1 0.000 0.000 0.273
F4 0.500 0.000 0.500
F5 0.500 0.500 0.284
F6 0.500 0.000 0.000
Pb1 0.500 0.500 0.000
Cs2 0.000 0.000 0.727
Ni1 0.500 0.500 0.500
```

Properties
electronic total energy: -4.3447 eV/atom
space group: P4/mmm (123)